(1)
Compound: FeCo10B3
Source: the Alexandria database
Functional: PBE
Structure: relaxed

a b c (Å): 7.342 7.342 7.342
angles (deg): 60.00 60.00 60.00
Fractional coordinates of all 28 atoms:
Fe 0.250 0.250 0.250
Fe 0.750 0.750 0.750
Co 0.000 0.000 0.337
Co 0.000 0.000 0.663
Co 0.000 0.337 0.000
Co 0.000 0.337 0.663
Co 0.000 0.663 0.000
Co 0.000 0.663 0.337
Co 0.142 0.619 0.619
Co 0.337 0.000 0.000
Co 0.337 0.000 0.663
Co 0.337 0.663 0.000
Co 0.381 0.381 0.381
Co 0.381 0.381 0.858
Co 0.381 0.858 0.381
Co 0.619 0.142 0.619
Co 0.619 0.619 0.142
Co 0.619 0.619 0.619
Co 0.663 0.000 0.000
Co 0.663 0.000 0.337
Co 0.663 0.337 0.000
Co 0.858 0.381 0.381
B 0.276 0.276 0.724
B 0.276 0.724 0.276
B 0.276 0.724 0.724
B 0.724 0.276 0.276
B 0.724 0.276 0.724
B 0.724 0.724 0.276

Formation energy from the elements: -0.146 eV per atom
Crystal system: cubic


(2)
Compound: TmScGaNi
Source: the Alexandria database
Functional: PBE
Structure: relaxed

a b c (Å): 6.715 6.715 6.715
angles (deg): 90.00 90.00 90.00
Fractional coordinates of all 16 atoms:
Tm 0.000 0.000 0.000
Tm 0.000 0.500 0.500
Tm 0.500 0.000 0.500
Tm 0.500 0.500 0.000
Sc 0.000 0.000 0.500
Sc 0.000 0.500 0.000
Sc 0.500 0.000 0.000
Sc 0.500 0.500 0.500
Ga 0.250 0.250 0.250
Ga 0.250 0.750 0.750
Ga 0.750 0.250 0.750
Ga 0.750 0.750 0.250
Ni 0.250 0.250 0.750
Ni 0.250 0.750 0.250
Ni 0.750 0.250 0.250
Ni 0.750 0.750 0.750

Formation energy from the elements: -0.496 eV per atom
Energy relative to the lowest polymorph listed for this composition: 0.037 eV per atom
Crystal system: cubic


Table of E_tot (eV for the cell shown), in record order: -203.2 -86.4